Compound: Ba4HgP12
Source: Alexandria
Functional: PBE
Structure: relaxed

The structure in POSCAR format:
```
Ba4HgP12
1.0
-5.116 5.116 5.116
5.116 -5.116 5.116
5.116 5.116 -5.116
Ba Hg P
4 1 12
direct
0.000 0.000 0.500
0.000 0.500 0.000
0.500 0.000 0.000
0.500 0.500 0.500
0.000 0.000 0.000
0.105 0.393 0.498
0.105 0.607 0.712
0.288 0.895 0.393
0.393 0.288 0.895
0.393 0.498 0.105
0.498 0.105 0.393
0.502 0.895 0.607
0.607 0.502 0.895
0.607 0.712 0.105
0.712 0.105 0.607
0.895 0.393 0.288
0.895 0.607 0.502
```

Properties
Calculated formation energy in eV/atom: -0.429
Total magnetic moment in μB per formula unit: 0.0
DOS(E_F) in states/eV/atom: 0.532
Electronic total energy in eV per atom: -4.718